1.
VASP calculation (PBE) on an optimized crystal structure of Zr2TcNi.

Values from the calculation:
Energy of formation from the pure elements   13 meV per atom

Cell: 6.4729 6.4729 6.4729 Å, 90.00 90.00 90.00°
Element x y z (fractional)
1 Zr 0.0000 0.0000 0.0000
2 Zr 0.0000 0.5000 0.5000
3 Zr 0.2500 0.2500 0.2500
4 Zr 0.2500 0.7500 0.7500
5 Zr 0.5000 0.0000 0.5000
6 Zr 0.5000 0.5000 0.0000
7 Zr 0.7500 0.2500 0.7500
8 Zr 0.7500 0.7500 0.2500
9 Tc 0.2500 0.2500 0.7500
10 Tc 0.2500 0.7500 0.2500
11 Tc 0.7500 0.2500 0.2500
12 Tc 0.7500 0.7500 0.7500
13 Ni 0.0000 0.0000 0.5000
14 Ni 0.0000 0.5000 0.0000
15 Ni 0.5000 0.0000 0.0000
16 Ni 0.5000 0.5000 0.5000

=====

2.
VASP calculation (PBE) on an optimized crystal structure of Na3SrMo.

Values from the calculation:
Relative energy among the computed polymorphs   0 kJ/mol of formula units
Energy of formation from the pure elements   1023 meV per atom

Cell: 5.9011 5.9011 5.9011 Å, 90.00 90.00 90.00°
Element x y z (fractional)
1 Na 0.0000 0.0000 0.5000
2 Na 0.0000 0.5000 0.0000
3 Na 0.5000 0.0000 0.0000
4 Sr 0.5000 0.5000 0.5000
5 Mo 0.0000 0.0000 0.0000

=====

| no. | total moment (Bohr magnetons per cell) |
| --- | --- |
| 1 | 0.005 |
| 2 | 4.282 |